(1)
A plane-wave DFT calculation with PBE was carried out for an optimized crystal structure of CsHg8Bi2.

```
CsHg8Bi2
1.0
6.421 -3.088 0.000
6.421 3.088 0.000
-3.287 0.000 8.821
Cs Hg Bi
1 8 2
Direct
0.000 0.000 0.000 Cs
0.140 0.659 0.328 Hg
0.301 0.301 0.976 Hg
0.341 0.860 0.672 Hg
0.418 0.418 0.739 Hg
0.582 0.582 0.261 Hg
0.659 0.140 0.328 Hg
0.699 0.699 0.024 Hg
0.860 0.341 0.672 Hg
0.217 0.217 0.429 Bi
0.783 0.783 0.571 Bi
```

Output
Formation energy from the elements   -4 kJ per mole of atoms

---

(2)
A plane-wave DFT calculation with PBE was carried out for an optimized crystal structure of Ca3AgGe.

```
Ca3AgGe
1.0
2.627 -10.146 0.000
2.627 10.146 0.000
0.000 0.000 5.255
Ca Ag Ge
6 2 2
Direct
0.077 0.923 0.750 Ca
0.250 0.750 0.750 Ca
0.423 0.577 0.750 Ca
0.577 0.423 0.250 Ca
0.750 0.250 0.250 Ca
0.923 0.077 0.250 Ca
0.160 0.840 0.250 Ag
0.840 0.160 0.750 Ag
0.340 0.660 0.250 Ge
0.660 0.340 0.750 Ge
```

Output
Formation energy from the elements   -39 kJ per mole of atoms
Energy above the most stable polymorph in this dataset   0.000 eV/atom

---

Number 1: DFT total energy -1.045 eV/atom. Number 2: DFT total energy -3.101 eV/atom.